Material: S
Method: DFT, PBE
State: relaxed

CIF file:
```
data_S
_chemical_formula_sum 'S4'
_cell_length_a 3.4333
_cell_length_b 3.4333
_cell_length_c 6.7457
_cell_angle_alpha 90.00
_cell_angle_beta 90.00
_cell_angle_gamma 120.00
_space_group_name_H-M_alt 'P 63/m m c'
_space_group_IT_number 194
_space_group_name_Hall '-P 6c 2c'
loop_
_atom_site_label
_atom_site_fract_x
_atom_site_fract_y
_atom_site_fract_z
S1 0.0000 0.0000 0.0000
S2 0.3333 0.6667 0.2500
```

Computed properties:
Total magnetization: 0.000 μB per formula unit
Total energy: -3.363 eV per atom
Fermi-level density of states: 0.366 states/eV per atom